Entry 1:
This record from the Alexandria database describes a relaxed HgRhPb crystal. The functional is PBE.

Cell lengths 5.528, 5.528, 5.872 Å; angles 121.91, 121.91, 73.06 degrees
Fractional coordinates of all 6 atoms:
Hg: 0.172 0.828 0.500
Hg: 0.828 0.172 0.000
Rh: 0.674 0.675 0.925
Rh: 0.675 0.674 0.425
Pb: 0.172 0.514 0.844
Pb: 0.514 0.172 0.344

Magnetic moment   0.0 μB per cell
Space group   Cc, No. 9
Energy above the most stable polymorph in this dataset   0.000 eV per atom
Density   13.12 g/cm3



Entry 2:
This record from the Alexandria database describes a relaxed Hg3RhPb crystal. The functional is PBE.

Cell lengths 5.212, 5.212, 5.212 Å; angles 90.00, 90.00, 90.00 degrees
Fractional coordinates of all 5 atoms:
Hg: 0.000 0.000 0.500
Hg: 0.000 0.500 0.000
Hg: 0.500 0.000 0.000
Rh: 0.000 0.000 0.000
Pb: 0.500 0.500 0.500

Magnetic moment   0.0 μB per cell
Space group   Pm-3m, No. 221
Energy above the most stable polymorph in this dataset   0.000 eV per atom
Density   10.69 g/cm3



Entry 3:
This record from the Alexandria database describes a relaxed HgRhPb3 crystal. The functional is PBE.

Cell lengths 8.356, 6.994, 10.474 Å; angles 90.00, 121.15, 90.00 degrees
Fractional coordinates of all 20 atoms:
Hg: 0.123 0.160 0.119
Hg: 0.123 0.340 0.619
Hg: 0.877 0.660 0.381
Hg: 0.877 0.840 0.881
Rh: 0.470 0.180 0.420
Rh: 0.470 0.320 0.920
Rh: 0.530 0.680 0.080
Rh: 0.530 0.820 0.580
Pb: 0.166 0.001 0.435
Pb: 0.166 0.499 0.935
Pb: 0.256 0.505 0.398
Pb: 0.256 0.995 0.898
Pb: 0.432 0.672 0.773
Pb: 0.432 0.828 0.273
Pb: 0.568 0.172 0.727
Pb: 0.568 0.328 0.227
Pb: 0.744 0.005 0.102
Pb: 0.744 0.495 0.602
Pb: 0.834 0.501 0.065
Pb: 0.834 0.999 0.565

Magnetic moment   0.0 μB per cell
Space group   P2_1/c, No. 14
Energy above the most stable polymorph in this dataset   0.000 eV per atom
Density   11.73 g/cm3



Entry 4:
This record from the Alexandria database describes a relaxed Hg2RhPb crystal. The functional is PBE.

Cell lengths 3.197, 7.234, 7.234 Å; angles 35.69, 90.00, 90.00 degrees
Fractional coordinates of all 4 atoms:
Hg: 0.000 0.000 0.000
Hg: 0.500 0.380 0.380
Rh: 0.500 0.174 0.174
Pb: 0.000 0.696 0.696

Magnetic moment   0.0 μB per cell
Total energy   -2.829 eV/atom
Space group   Amm2, No. 38
Density   12.10 g/cm3



Entry 5:
This record from the Alexandria database describes a relaxed HgRhPb crystal. The functional is PBE.

Cell lengths 4.678, 4.678, 3.456 Å; angles 90.00, 90.00, 120.00 degrees
Fractional coordinates of all 3 atoms:
Hg: 0.000 0.000 0.000
Rh: 0.333 0.667 0.680
Pb: 0.667 0.333 0.471

Magnetic moment   0.0 μB per cell
Space group   P3m1, No. 156
Energy above the most stable polymorph in this dataset   0.237 eV per atom
Density   12.95 g/cm3



Entry 6:
This record from the Alexandria database describes a relaxed Hg2RhPb crystal. The functional is PBE.

Cell lengths 3.234, 3.234, 8.850 Å; angles 90.00, 90.00, 90.00 degrees
Fractional coordinates of all 4 atoms:
Hg: 0.000 0.000 0.000
Hg: 0.500 0.500 0.286
Rh: 0.500 0.500 0.801
Pb: 0.000 0.000 0.601

Magnetic moment   0.0 μB per cell
Total energy   -2.846 eV/atom
Space group   P4mm, No. 99
Density   12.76 g/cm3



Entry 7:
This record from the Alexandria database describes a relaxed Hg2RhPb crystal. The functional is PBE.

Cell lengths 9.840, 9.840, 9.840 Å; angles 19.36, 19.36, 19.36 degrees
Fractional coordinates of all 4 atoms:
Hg: 0.237 0.237 0.237
Hg: 0.763 0.763 0.763
Rh: 0.500 0.500 0.500
Pb: 0.000 0.000 0.000

Magnetic moment   0.0 μB per cell
Total energy   -2.695 eV/atom
Space group   R-3m, No. 166
Density   12.90 g/cm3



Entry 8:
This record from the Alexandria database describes a relaxed Hg2Rh2Pb crystal. The functional is PBE.

Cell lengths 7.026, 7.026, 4.063 Å; angles 90.00, 90.00, 90.00 degrees
Fractional coordinates of all 10 atoms:
Hg: 0.155 0.345 0.000
Hg: 0.345 0.845 0.000
Hg: 0.655 0.155 0.000
Hg: 0.845 0.655 0.000
Rh: 0.142 0.642 0.500
Rh: 0.358 0.142 0.500
Rh: 0.642 0.858 0.500
Rh: 0.858 0.358 0.500
Pb: 0.000 0.000 0.500
Pb: 0.500 0.500 0.500

Magnetic moment   0.0 μB per cell
Total energy   -3.714 eV/atom
Space group   P4/mbm, No. 127
Density   13.48 g/cm3